Entry 1:
This record from Alexandria describes Pa6RuN12 after structural relaxation. The functional is PBE.

```
data_Pa6RuN12
_chemical_formula_sum 'Pa18 Ru3 N36'
_cell_length_a 9.8991
_cell_length_b 9.8991
_cell_length_c 9.4703
_cell_angle_alpha 90.00
_cell_angle_beta 90.00
_cell_angle_gamma 120.00
_space_group_name_H-M_alt 'R -3'
_space_group_IT_number 148
_space_group_name_Hall '-R 3'
loop_
_atom_site_label
_atom_site_type_symbol
_atom_site_fract_x
_atom_site_fract_y
_atom_site_fract_z
Pa1 Pa 0.0512 0.2586 0.1575
Ru1 Ru 0.0000 0.0000 0.5000
N1 N 0.0354 0.2266 0.9020
N2 N 0.0408 0.2018 0.3939
```


Entry 2:
This record from Alexandria describes BaSi2Ni after structural relaxation. The functional is PBE.

```
data_BaSi2Ni
_chemical_formula_sum 'Ba4 Si8 Ni4'
_cell_length_a 6.921
_cell_length_b 6.921
_cell_length_c 6.921
_cell_angle_alpha 90.00
_cell_angle_beta 90.00
_cell_angle_gamma 90.00
_space_group_name_H-M_alt 'F m -3 m'
_space_group_IT_number 225
_space_group_name_Hall '-F 4 2 3'
loop_
_atom_site_label
_atom_site_type_symbol
_atom_site_fract_x
_atom_site_fract_y
_atom_site_fract_z
Ba1 Ba 0.000 0.000 0.000
Si1 Si 0.250 0.250 0.250
Ni1 Ni 0.000 0.000 0.500
```


Number 1: uncorrected formation energy -1.287 eV per atom. Number 2: uncorrected formation energy 0.492 eV per atom.